Record 1
First-principles (meta-GGA SCAN) data for a PBEsol-optimized structure of MgBe2FeRu, as listed in the Alexandria database.

POSCAR file:
```
MgBe2FeRu
1.0
-3.7273 -1.5286 0.8766
0.7594 -3.2443 -2.4281
1.6980 -2.1718 3.4329
Be Mg Ru Fe
2 1 1 1
Direct
0.0000 0.5000 0.0000 Be
0.5000 0.0000 0.0000 Be
0.0000 0.0000 0.0000 Mg
0.0000 0.0000 0.5000 Ru
0.5000 0.5000 0.5000 Fe
```

**SG**: P4/mmm, No. 123
**DFT formation energy**: 1.579 eV per atom

***

Record 2
First-principles (meta-GGA SCAN) data for a PBEsol-optimized structure of MgRu2, as listed in the Alexandria database.

POSCAR file:
```
MgRu2
1.0
3.6997 0.0000 0.0000
0.0000 3.6997 0.0000
-1.8499 -1.8499 7.5890
Ru Mg
4 2
Direct
0.8275 0.3275 0.6550 Ru
0.6725 0.1725 0.3450 Ru
0.4225 0.4225 0.8450 Ru
0.5775 0.5775 0.1550 Ru
0.0000 0.0000 0.0000 Mg
0.2500 0.7500 0.5000 Mg
```

**SG**: I4_1/amd, No. 141
**DFT formation energy**: 0.514 eV per atom

***

Record 3
First-principles (meta-GGA SCAN) data for a PBEsol-optimized structure of CoCuTc2, as listed in the Alexandria database.

POSCAR file:
```
CoCuTc2
1.0
3.0163 0.0000 0.0000
0.0000 3.0163 0.0000
0.0000 0.0000 5.4787
Cu Tc Co
1 2 1
Direct
0.5000 0.5000 0.7281 Cu
0.5000 0.5000 0.2553 Tc
0.0000 0.0000 0.9956 Tc
0.0000 0.0000 0.5209 Co
```

**SG**: P4mm, No. 99
**Offset from the most stable computed form**: 0 meV/atom
**DFT formation energy**: 0.169 eV per atom

***

Record 4
First-principles (meta-GGA SCAN) data for a PBEsol-optimized structure of MgScMo2, as listed in the Alexandria database.

POSCAR file:
```
MgScMo2
1.0
-1.9416 -0.8509 1.7548
0.8246 -4.4854 -1.2625
4.4486 -0.0682 3.1476
Sc Mg Mo
1 1 2
Direct
0.5000 0.5000 0.0000 Sc
0.0000 0.5000 0.5000 Mg
0.7933 0.0000 0.7718 Mo
0.2067 0.0000 0.2282 Mo
```

**SG**: P2/m, No. 10
**DFT formation energy**: 0.267 eV per atom

***

Record 5
First-principles (meta-GGA SCAN) data for a PBEsol-optimized structure of CsZrSe2, as listed in the Alexandria database.

POSCAR file:
```
CsZrSe2
1.0
7.2082 0.0963 0.1490
-2.9259 6.5884 -0.1490
-2.9259 -2.8397 5.9469
Se Cs Zr
4 2 2
Direct
0.6014 0.2264 0.1250 Se
0.8986 0.3750 0.7736 Se
0.1014 0.8750 0.4764 Se
0.3986 0.5236 0.6250 Se
0.5000 0.7500 0.2500 Cs
0.0000 0.0000 0.0000 Cs
0.5000 0.2500 0.7500 Zr
0.0000 0.5000 0.5000 Zr
```

**SG**: I-42d, No. 122
**Uncorrected formation energy**: -1.2894 eV/atom

***

Record 6
First-principles (meta-GGA SCAN) data for a PBEsol-optimized structure of OsRuRh2, as listed in the Alexandria database.

POSCAR file:
```
OsRuRh2
1.0
-1.6889 3.2053 -1.1106
-1.2940 -1.7556 -3.0989
-1.6262 -1.7210 3.9709
Rh Ru Os
2 1 1
Direct
0.7500 0.2500 0.5000 Rh
0.0000 0.0000 0.0000 Rh
0.5000 0.5000 0.0000 Ru
0.2500 0.7500 0.5000 Os
```

**SG**: I-4m2, No. 119
**Offset from the most stable computed form**: 44 meV/atom
**DFT formation energy**: 0.085 eV per atom

***

Record 7
First-principles (meta-GGA SCAN) data for a PBEsol-optimized structure of HoMn6Sn6, as listed in the Alexandria database.

POSCAR file:
```
HoMn6Sn6
1.0
5.3607 0.0000 0.0000
-2.6803 4.6425 0.0000
0.0000 0.0000 8.8159
Ho Sn Mn
1 6 6
Direct
0.0000 0.0000 0.0000 Ho
0.6667 0.3333 0.0000 Sn
0.6667 0.3333 0.5000 Sn
0.3333 0.6667 0.0000 Sn
0.0000 0.0000 0.3332 Sn
0.0000 0.0000 0.6668 Sn
0.3333 0.6667 0.5000 Sn
0.5000 0.0000 0.7519 Mn
0.5000 0.5000 0.7519 Mn
0.5000 0.5000 0.2481 Mn
0.0000 0.5000 0.2481 Mn
0.5000 0.0000 0.2481 Mn
0.0000 0.5000 0.7519 Mn
```

**SG**: P6/mmm, No. 191
**DFT formation energy**: -0.237 eV per atom

***

Record 8
First-principles (meta-GGA SCAN) data for a PBEsol-optimized structure of LiFe2Cl, as listed in the Alexandria database.

POSCAR file:
```
LiFe2Cl
1.0
3.0166 0.0000 0.0000
0.0000 3.1248 0.0000
0.0000 -1.5624 5.8543
Li Fe Cl
1 2 1
Direct
0.0000 0.9184 0.8368 Li
0.5000 0.5653 0.1305 Fe
0.0000 0.1551 0.3101 Fe
0.5000 0.3429 0.6858 Cl
```

**SG**: Amm2, No. 38
**Offset from the most stable computed form**: 0 meV/atom
**Uncorrected formation energy**: -0.3052 eV/atom

***

Record 9
First-principles (meta-GGA SCAN) data for a PBEsol-optimized structure of Ca2AgP, as listed in the Alexandria database.

POSCAR file:
```
Ca2AgP
1.0
-1.7543 3.3106 1.9281
-3.9531 1.1267 -0.9270
-4.2659 -2.6912 5.3437
P Ca Ag
1 2 1
Direct
0.0000 0.0000 0.0000 P
0.7346 0.7346 0.7961 Ca
0.2654 0.2654 0.2039 Ca
0.5000 0.5000 0.5000 Ag
```

**SG**: R-3m, No. 166
**DFT formation energy**: -0.769 eV per atom

***

Record 10
First-principles (meta-GGA SCAN) data for a PBEsol-optimized structure of AlTc2Ag, as listed in the Alexandria database.

POSCAR file:
```
AlTc2Ag
1.0
3.0265 0.0000 0.0000
0.0000 4.2737 0.0000
-1.5133 -2.1368 4.5239
Tc Ag Al
2 1 1
Direct
0.2618 0.2618 0.5236 Tc
0.7382 0.7382 0.4764 Tc
0.5000 0.0000 0.0000 Ag
0.0000 0.5000 0.0000 Al
```

**SG**: Immm, No. 71
**DFT formation energy**: 0.119 eV per atom

***

Record 11
First-principles (meta-GGA SCAN) data for a PBEsol-optimized structure of LiMnSi2, as listed in the Alexandria database.

POSCAR file:
```
LiMnSi2
1.0
2.8950 0.0000 0.0000
0.0000 2.8950 0.0000
0.0000 0.0000 5.4322
Li Si Mn
1 2 1
Direct
0.5000 0.5000 0.0000 Li
0.0000 0.0000 0.7344 Si
0.0000 0.0000 0.2656 Si
0.5000 0.5000 0.5000 Mn
```

**SG**: P4/mmm, No. 123
**Offset from the most stable computed form**: 51 meV/atom
**Uncorrected formation energy**: -0.1404 eV/atom

***

Record 12
First-principles (meta-GGA SCAN) data for a PBEsol-optimized structure of Sm2SCl4, as listed in the Alexandria database.

POSCAR file:
```
Sm2SCl4
1.0
6.3438 0.0000 0.0000
0.0000 6.9844 0.0185
-3.1719 -1.0444 7.3959
Sm Cl S
4 8 2
Direct
0.6846 0.9216 0.7864 Sm
0.8983 0.5784 0.2136 Sm
0.3154 0.0784 0.2136 Sm
0.1017 0.4216 0.7864 Sm
0.6987 0.1796 0.5574 Cl
0.3013 0.8204 0.4426 Cl
0.4766 0.4273 0.1737 Cl
0.1413 0.3204 0.4426 Cl
0.8587 0.6796 0.5574 Cl
0.5234 0.5727 0.8263 Cl
0.6971 0.9273 0.1737 Cl
0.3029 0.0727 0.8263 Cl
0.9307 0.2500 0.0000 S
0.0693 0.7500 0.0000 S
```

**SG**: C2/c, No. 15
**Uncorrected formation energy**: -2.5256 eV/atom